A plane-wave DFT calculation with SCAN was carried out for a crystal of Mo2RuPt relaxed with PBEsol.

Structure (POSCAR):
```
Mo2RuPt
1.0
-0.785 0.687 2.525
2.797 -2.255 1.482
3.469 4.252 -0.079
Ru Mo Pt
1 2 1
Direct
0.500 0.500 0.500 Ru
0.000 0.000 0.734 Mo
0.000 0.000 0.266 Mo
0.500 0.500 0.000 Pt
```

Computed properties:
- Energy: -1.6142 hartree per atom
- Spin magnetization: 0.00 μB per formula unit
- Relative energy among the computed polymorphs: 0.035 eV/atom
- Calculated volume: 58.3 Å³ per cell
- ρ: 13.9 g/cm3

---

A plane-wave DFT calculation with SCAN was carried out for a crystal of BaIn2Fe relaxed with PBEsol.

Structure (POSCAR):
```
BaIn2Fe
1.0
4.505 0.000 0.000
0.000 4.502 0.000
0.000 0.000 5.128
Ba Fe In
1 1 2
Direct
0.500 0.000 0.500 Ba
0.000 0.500 0.500 Fe
0.000 0.000 0.000 In
0.500 0.500 0.000 In
```

Computed properties:
- Energy: -1.1324 hartree per atom
- Spin magnetization: 2.73 μB per formula unit
- Calculated volume: 104.0 Å³ per cell
- ρ: 6.8 g/cm3